# 1
# Ni3P5 (PBE-GGA, optimized geometry)
data_Ni3P5
_symmetry_space_group_name_H-M 'P 1'
_symmetry_Int_Tables_number 1
_symmetry_space_group_name_Hall 'P 1'
_cell_length_a 5.5431
_cell_length_b 6.5571
_cell_length_c 7.2481
_cell_angle_alpha 87.66
_cell_angle_beta 79.91
_cell_angle_gamma 74.56
loop_
_atom_site_label
_atom_site_type_symbol
_atom_site_fract_x
_atom_site_fract_y
_atom_site_fract_z
Ni1 Ni 0.0000 0.0000 0.0000
Ni2 Ni 0.0104 0.5447 0.7465
Ni3 Ni 0.1144 0.5674 0.3965
Ni4 Ni 0.3757 0.9931 0.5521
Ni5 Ni 0.5210 0.1420 0.0204
Ni6 Ni 0.8101 0.1135 0.5563
P1 P 0.2412 0.2130 0.8087
P2 P 0.3070 0.2331 0.3154
P3 P 0.3600 0.6480 0.5765
P4 P 0.3774 0.8225 0.8358
P5 P 0.5321 0.8837 0.2477
P6 P 0.7751 0.8798 0.7935
P7 P 0.7789 0.4641 0.5410
P8 P 0.7955 0.2871 0.8325
P9 P 0.9118 0.8766 0.3024
P10 P 0.9293 0.2267 0.2594
# total moment = 0.00 μB/atom
# DFT formation energy = -84 meV per atom

# 2
# NiP4 (PBE-GGA, optimized geometry)
data_NiP4
_symmetry_space_group_name_H-M 'I 4/m m m'
_symmetry_Int_Tables_number 139
_symmetry_space_group_name_Hall '-I 4 2'
_cell_length_a 4.5831
_cell_length_b 4.5831
_cell_length_c 6.9451
_cell_angle_alpha 90.00
_cell_angle_beta 90.00
_cell_angle_gamma 90.00
loop_
_atom_site_label
_atom_site_type_symbol
_atom_site_fract_x
_atom_site_fract_y
_atom_site_fract_z
Ni1 Ni 0.0000 0.0000 0.0000
P1 P 0.0000 0.0000 0.3240
P2 P 0.0000 0.5000 0.2500
# total moment = 0.00 μB/atom
# DFT formation energy = 329 meV per atom

# 3
# Ni3P (PBE-GGA, optimized geometry)
data_Ni3P
_symmetry_space_group_name_H-M 'I 4/m m m'
_symmetry_Int_Tables_number 139
_symmetry_space_group_name_Hall '-I 4 2'
_cell_length_a 3.5038
_cell_length_b 3.5038
_cell_length_c 6.9467
_cell_angle_alpha 90.00
_cell_angle_beta 90.00
_cell_angle_gamma 90.00
loop_
_atom_site_label
_atom_site_type_symbol
_atom_site_fract_x
_atom_site_fract_y
_atom_site_fract_z
Ni1 Ni 0.0000 0.0000 0.0000
Ni2 Ni 0.0000 0.5000 0.2500
P1 P 0.0000 0.0000 0.5000
# total moment = 0.00 μB/atom
# DFT formation energy = -214 meV per atom

# 4
# Ni3P (PBE-GGA, optimized geometry)
data_Ni3P
_symmetry_space_group_name_H-M 'I -4'
_symmetry_Int_Tables_number 82
_symmetry_space_group_name_Hall 'I -4'
_cell_length_a 8.9454
_cell_length_b 8.9454
_cell_length_c 4.3841
_cell_angle_alpha 90.00
_cell_angle_beta 90.00
_cell_angle_gamma 90.00
loop_
_atom_site_label
_atom_site_type_symbol
_atom_site_fract_x
_atom_site_fract_y
_atom_site_fract_z
Ni1 Ni 0.0324 0.3652 0.4760
Ni2 Ni 0.0776 0.8879 0.2585
Ni3 Ni 0.1681 0.7796 0.7464
P1 P 0.0483 0.2856 0.9808
# total moment = 0.00 μB/atom
# DFT formation energy = -442 meV per atom

# 5
# Ni2P3 (PBE-GGA, optimized geometry)
data_Ni2P3
_symmetry_space_group_name_H-M 'P -3 m 1'
_symmetry_Int_Tables_number 164
_symmetry_space_group_name_Hall '-P 3 2"'
_cell_length_a 3.6569
_cell_length_b 3.6569
_cell_length_c 5.8893
_cell_angle_alpha 90.00
_cell_angle_beta 90.00
_cell_angle_gamma 120.00
loop_
_atom_site_label
_atom_site_type_symbol
_atom_site_fract_x
_atom_site_fract_y
_atom_site_fract_z
Ni1 Ni 0.3333 0.6667 0.2622
P1 P 0.0000 0.0000 0.5000
P2 P 0.3333 0.6667 0.8670
# total moment = 0.00 μB/atom
# DFT formation energy = -60 meV per atom

# 6
# Pa2Ni12P7 (PBE-GGA, optimized geometry)
data_Pa2Ni12P7
_symmetry_space_group_name_H-M 'P -6'
_symmetry_Int_Tables_number 174
_symmetry_space_group_name_Hall 'P -6'
_cell_length_a 9.0641
_cell_length_b 9.0641
_cell_length_c 3.7187
_cell_angle_alpha 90.00
_cell_angle_beta 90.00
_cell_angle_gamma 120.00
loop_
_atom_site_label
_atom_site_type_symbol
_atom_site_fract_x
_atom_site_fract_y
_atom_site_fract_z
Pa1 Pa 0.0000 0.0000 0.0000
Pa2 Pa 0.3333 0.6667 0.5000
Ni1 Ni 0.0543 0.2880 0.5000
Ni2 Ni 0.1046 0.7105 0.0000
Ni3 Ni 0.3911 0.1833 0.0000
Ni4 Ni 0.5464 0.4293 0.5000
P1 P 0.0682 0.4440 0.0000
P2 P 0.2654 0.2236 0.5000
P3 P 0.6667 0.3333 0.0000
# total moment = 0.00 μB/atom
# DFT formation energy = -720 meV per atom

# 7
# Pa2NiP4 (PBE-GGA, optimized geometry)
data_Pa2NiP4
_symmetry_space_group_name_H-M 'P -4 m 2'
_symmetry_Int_Tables_number 115
_symmetry_space_group_name_Hall 'P -4 -2'
_cell_length_a 3.8522
_cell_length_b 3.8522
_cell_length_c 8.5559
_cell_angle_alpha 90.00
_cell_angle_beta 90.00
_cell_angle_gamma 90.00
loop_
_atom_site_label
_atom_site_type_symbol
_atom_site_fract_x
_atom_site_fract_y
_atom_site_fract_z
Pa1 Pa 0.0000 0.5000 0.2472
Ni1 Ni 0.5000 0.5000 0.0000
P1 P 0.0000 0.0000 0.5000
P2 P 0.0000 0.5000 0.8581
P3 P 0.5000 0.5000 0.5000
# total moment = 0.00 μB/atom
# DFT formation energy = -1004 meV per atom

# 8
# PaNi3P2 (PBE-GGA, optimized geometry)
data_PaNi3P2
_symmetry_space_group_name_H-M 'C m m m'
_symmetry_Int_Tables_number 65
_symmetry_space_group_name_Hall '-C 2 2'
_cell_length_a 7.0135
_cell_length_b 13.0677
_cell_length_c 3.7823
_cell_angle_alpha 90.00
_cell_angle_beta 90.00
_cell_angle_gamma 90.00
loop_
_atom_site_label
_atom_site_type_symbol
_atom_site_fract_x
_atom_site_fract_y
_atom_site_fract_z
Pa1 Pa 0.0000 0.1595 0.0000
Ni1 Ni 0.1829 0.5000 0.0000
Ni2 Ni 0.1847 0.3394 0.5000
P1 P 0.0000 0.3627 0.0000
P2 P 0.1568 0.0000 0.5000
# total moment = 0.00 μB/atom
# DFT formation energy = -702 meV per atom

# 9
# Pa3Ni5P2 (PBE-GGA, optimized geometry)
data_Pa3Ni5P2
_symmetry_space_group_name_H-M 'I b a m'
_symmetry_Int_Tables_number 72
_symmetry_space_group_name_Hall '-I 2 2c'
_cell_length_a 10.1749
_cell_length_b 11.6749
_cell_length_c 5.5485
_cell_angle_alpha 90.00
_cell_angle_beta 90.00
_cell_angle_gamma 90.00
loop_
_atom_site_label
_atom_site_type_symbol
_atom_site_fract_x
_atom_site_fract_y
_atom_site_fract_z
Pa1 Pa 0.0000 0.0000 0.2500
Pa2 Pa 0.2113 0.3860 0.0000
Ni1 Ni 0.0000 0.2569 0.2500
Ni2 Ni 0.0000 0.5000 0.2500
Ni3 Ni 0.1436 0.3768 0.5000
P1 P 0.1463 0.1556 0.0000
# total moment = 0.12 μB/atom
# DFT formation energy = -473 meV per atom

# 10
# PaNiP3 (PBE-GGA, optimized geometry)
data_PaNiP3
_symmetry_space_group_name_H-M 'P 1 21/c 1'
_symmetry_Int_Tables_number 14
_symmetry_space_group_name_Hall '-P 2ybc'
_cell_length_a 7.4161
_cell_length_b 5.5286
_cell_length_c 10.6943
_cell_angle_alpha 90.00
_cell_angle_beta 131.48
_cell_angle_gamma 90.00
loop_
_atom_site_label
_atom_site_type_symbol
_atom_site_fract_x
_atom_site_fract_y
_atom_site_fract_z
Pa1 Pa 0.1179 0.2438 0.1694
Ni1 Ni 0.4067 0.7411 0.9535
P1 P 0.0884 0.7432 0.1760
P2 P 0.2927 0.0886 0.5178
P3 P 0.3995 0.5033 0.6123
# total moment = 0.00 μB/atom
# DFT formation energy = -679 meV per atom

# 11
# Pa2Ni5P3 (PBE-GGA, optimized geometry)
data_Pa2Ni5P3
_symmetry_space_group_name_H-M 'P -4 m 2'
_symmetry_Int_Tables_number 115
_symmetry_space_group_name_Hall 'P -4 -2'
_cell_length_a 3.9428
_cell_length_b 3.9428
_cell_length_c 9.5156
_cell_angle_alpha 90.00
_cell_angle_beta 90.00
_cell_angle_gamma 90.00
loop_
_atom_site_label
_atom_site_type_symbol
_atom_site_fract_x
_atom_site_fract_y
_atom_site_fract_z
Pa1 Pa 0.0000 0.5000 0.2323
Ni1 Ni 0.0000 0.0000 0.0000
Ni2 Ni 0.0000 0.0000 0.5000
Ni3 Ni 0.0000 0.5000 0.8508
Ni4 Ni 0.5000 0.5000 0.0000
P1 P 0.0000 0.5000 0.6310
P2 P 0.5000 0.5000 0.5000
# total moment = 0.00 μB/atom
# DFT formation energy = -390 meV per atom

# 12
# PaNiP2 (PBE-GGA, optimized geometry)
data_PaNiP2
_symmetry_space_group_name_H-M 'R -3 m'
_symmetry_Int_Tables_number 166
_symmetry_space_group_name_Hall '-R 3 2"'
_cell_length_a 4.2413
_cell_length_b 4.2413
_cell_length_c 20.2265
_cell_angle_alpha 90.00
_cell_angle_beta 90.00
_cell_angle_gamma 120.00
loop_
_atom_site_label
_atom_site_type_symbol
_atom_site_fract_x
_atom_site_fract_y
_atom_site_fract_z
Pa1 Pa 0.0000 0.0000 0.0000
Ni1 Ni 0.0000 0.0000 0.5000
P1 P 0.0000 0.0000 0.3946
# total moment = 0.26 μB/atom
# DFT formation energy = -182 meV per atom

# 13
# PaNi6P4 (PBE-GGA, optimized geometry)
data_PaNi6P4
_symmetry_space_group_name_H-M 'I -4 2 m'
_symmetry_Int_Tables_number 121
_symmetry_space_group_name_Hall 'I -4 2'
_cell_length_a 6.1423
_cell_length_b 6.1423
_cell_length_c 7.9486
_cell_angle_alpha 90.00
_cell_angle_beta 90.00
_cell_angle_gamma 90.00
loop_
_atom_site_label
_atom_site_type_symbol
_atom_site_fract_x
_atom_site_fract_y
_atom_site_fract_z
Pa1 Pa 0.0000 0.0000 0.0000
Ni1 Ni 0.0000 0.5000 0.0000
Ni2 Ni 0.1475 0.1475 0.3742
P1 P 0.2115 0.2115 0.6508
# total moment = 0.00 μB/atom
# DFT formation energy = -608 meV per atom

# 14
# PaNi6P2 (PBE-GGA, optimized geometry)
data_PaNi6P2
_symmetry_space_group_name_H-M 'P 4/m m m'
_symmetry_Int_Tables_number 123
_symmetry_space_group_name_Hall '-P 4 2'
_cell_length_a 3.8737
_cell_length_b 3.8737
_cell_length_c 7.6661
_cell_angle_alpha 90.00
_cell_angle_beta 90.00
_cell_angle_gamma 90.00
loop_
_atom_site_label
_atom_site_type_symbol
_atom_site_fract_x
_atom_site_fract_y
_atom_site_fract_z
Pa1 Pa 0.0000 0.0000 0.0000
Ni1 Ni 0.0000 0.0000 0.5000
Ni2 Ni 0.0000 0.5000 0.2938
Ni3 Ni 0.5000 0.5000 0.5000
P1 P 0.5000 0.5000 0.1519
# total moment = 0.06 μB/atom
# DFT formation energy = -485 meV per atom

# 15
# Pa3Ni7P2 (PBE-GGA, optimized geometry)
data_Pa3Ni7P2
_symmetry_space_group_name_H-M 'I 4/m m m'
_symmetry_Int_Tables_number 139
_symmetry_space_group_name_Hall '-I 4 2'
_cell_length_a 3.8039
_cell_length_b 3.8039
_cell_length_c 26.5173
_cell_angle_alpha 90.00
_cell_angle_beta 90.00
_cell_angle_gamma 90.00
loop_
_atom_site_label
_atom_site_type_symbol
_atom_site_fract_x
_atom_site_fract_y
_atom_site_fract_z
Pa1 Pa 0.0000 0.0000 0.0000
Pa2 Pa 0.0000 0.0000 0.2036
Ni1 Ni 0.0000 0.0000 0.3124
Ni2 Ni 0.0000 0.0000 0.5000
Ni3 Ni 0.0000 0.5000 0.1224
P1 P 0.0000 0.0000 0.4206
# total moment = 0.03 μB/atom
# DFT formation energy = -449 meV per atom

# 16
# PaNi12P6 (PBE-GGA, optimized geometry)
data_PaNi12P6
_symmetry_space_group_name_H-M 'R -3 m'
_symmetry_Int_Tables_number 166
_symmetry_space_group_name_Hall '-R 3 2"'
_cell_length_a 10.1092
_cell_length_b 10.1092
_cell_length_c 8.0156
_cell_angle_alpha 90.00
_cell_angle_beta 90.00
_cell_angle_gamma 120.00
loop_
_atom_site_label
_atom_site_type_symbol
_atom_site_fract_x
_atom_site_fract_y
_atom_site_fract_z
Pa1 Pa 0.0000 0.0000 0.0000
Ni1 Ni 0.0000 0.3746 0.5000
Ni2 Ni 0.0887 0.1774 0.3562
P1 P 0.0347 0.5173 0.2781
# total moment = 0.03 μB/atom
# DFT formation energy = -479 meV per atom

# 17
# PaNi5P3 (PBE-GGA, optimized geometry)
data_PaNi5P3
_symmetry_space_group_name_H-M 'C m c m'
_symmetry_Int_Tables_number 63
_symmetry_space_group_name_Hall '-C 2c 2'
_cell_length_a 3.5851
_cell_length_b 11.6941
_cell_length_c 11.2215
_cell_angle_alpha 90.00
_cell_angle_beta 90.00
_cell_angle_gamma 90.00
loop_
_atom_site_label
_atom_site_type_symbol
_atom_site_fract_x
_atom_site_fract_y
_atom_site_fract_z
Pa1 Pa 0.0000 0.1522 0.2500
Ni1 Ni 0.0000 0.0000 0.0000
Ni2 Ni 0.0000 0.2008 0.5663
Ni3 Ni 0.0000 0.4375 0.1437
P1 P 0.0000 0.1226 0.7500
P2 P 0.0000 0.3848 0.5510
# total moment = 0.00 μB/atom
# DFT formation energy = -728 meV per atom

# 18
# Pa2NiP3 (PBE-GGA, optimized geometry)
data_Pa2NiP3
_symmetry_space_group_name_H-M 'P n m a'
_symmetry_Int_Tables_number 62
_symmetry_space_group_name_Hall '-P 2ac 2n'
_cell_length_a 10.6200
_cell_length_b 3.8795
_cell_length_c 10.8304
_cell_angle_alpha 90.00
_cell_angle_beta 90.00
_cell_angle_gamma 90.00
loop_
_atom_site_label
_atom_site_type_symbol
_atom_site_fract_x
_atom_site_fract_y
_atom_site_fract_z
Pa1 Pa 0.0098 0.2500 0.1835
Pa2 Pa 0.1810 0.2500 0.5096
Ni1 Ni 0.2427 0.7500 0.2858
P1 P 0.0514 0.7500 0.3694
P2 P 0.1252 0.2500 0.9480
P3 P 0.2213 0.7500 0.6946
# total moment = 0.00 μB/atom
# DFT formation energy = -1168 meV per atom

# 19
# PaNi10P3 (PBE-GGA, optimized geometry)
data_PaNi10P3
_symmetry_space_group_name_H-M 'F m -3 m'
_symmetry_Int_Tables_number 225
_symmetry_space_group_name_Hall '-F 4 2 3'
_cell_length_a 11.2329
_cell_length_b 11.2329
_cell_length_c 11.2329
_cell_angle_alpha 90.00
_cell_angle_beta 90.00
_cell_angle_gamma 90.00
loop_
_atom_site_label
_atom_site_type_symbol
_atom_site_fract_x
_atom_site_fract_y
_atom_site_fract_z
Pa1 Pa 0.2500 0.2500 0.2500
Ni1 Ni 0.0000 0.1755 0.1755
Ni2 Ni 0.1142 0.1142 0.3858
P1 P 0.0000 0.0000 0.2570
# total moment = 0.00 μB/atom
# DFT formation energy = -466 meV per atom